Record 1
# Be2SiP

Be2SiP after structural relaxation (PBE, Alexandria via LeMat-Bulk).

a = 3.6799 Å, b = 5.2398 Å, c = 6.0213 Å
α = 97.81°, β = 95.99°, γ = 109.62°
With the nearest neighbours (Å) after each atom.
Fractional coordinates of all 8 atoms:
1 P 0.5199 0.2358 0.1563  5 Be 2.12-2.29, 1 Si 2.34
2 P 0.9602 0.2284 0.6582  4 Be 2.11-2.26, 1 Si 2.31
3 Si 0.5858 0.6822 0.3267  1 P 2.34, 4 Be 2.36-2.40, 1 Si 2.57
4 Si 0.9303 0.6660 0.7159  4 Be 2.30-2.49, 1 P 2.31
5 Be 0.4372 0.5351 0.9288  2 P 2.26-2.29, 3 Si 2.30-2.49, 3 Be 2.34-2.41
6 Be 0.4219 0.0900 0.7938  3 P 2.16-2.19, 1 Si 2.30, 1 Be 2.34
7 Be 0.9938 0.1435 0.3094  3 P 2.11-2.17, 1 Be 2.24
8 Be 0.1027 0.7912 0.1081  3 Be 2.24-2.41, 1 P 2.28, 3 Si 2.32-2.38

Output
* excess energy over the best structure of this formula in the dataset: 55 meV/atom
* DOS(E_F): 1.61 states/eV per cell
* total DFT energy (no corrections): -4.489 eV per atom

---

Record 2
# Be2SiP

Be2SiP after structural relaxation (PBE, Alexandria via LeMat-Bulk).

a = 4.0164 Å, b = 4.0164 Å, c = 4.0164 Å
α = 60.00°, β = 60.00°, γ = 60.00°
With the nearest neighbours (Å) after each atom.
Fractional coordinates of all 4 atoms:
1 P 0.5000 0.5000 0.5000  4 Si 2.46, 4 Be 2.46
2 Si 0.7500 0.7500 0.7500  4 P 2.46, 4 Be 2.46
3 Be 0.0000 0.0000 0.0000  4 Be 2.46, 4 Si 2.46
4 Be 0.2500 0.2500 0.2500  4 Be 2.46, 4 P 2.46

Output
* excess energy over the best structure of this formula in the dataset: 551 meV/atom
* DOS(E_F): 1.80 states/eV per cell
* total DFT energy (no corrections): -3.993 eV per atom

---

Record 3
# Be2SiP

Be2SiP after structural relaxation (PBE, Alexandria via LeMat-Bulk).

a = 3.4370 Å, b = 2.6632 Å, c = 5.2458 Å
α = 84.20°, β = 90.00°, γ = 90.00°
With the nearest neighbours (Å) after each atom.
Fractional coordinates of all 4 atoms:
1 P 0.5000 0.2500 0.2500  4 Be 2.25
2 Si 0.5000 0.7500 0.7500  8 Be 2.44-2.51, 2 Si 2.66
3 Be 0.0000 0.2293 0.9748  2 P 2.25, 1 Be 2.35, 4 Si 2.44-2.51
4 Be 0.0000 0.2707 0.5252  2 P 2.25, 1 Be 2.35, 4 Si 2.44-2.51

Output
* excess energy over the best structure of this formula in the dataset: 337 meV/atom
* DOS(E_F): 0.53 states/eV per cell
* total DFT energy (no corrections): -4.208 eV per atom